## one
Below is MnBe3O after structural relaxation, with properties calculated at the PBE with a Hubbard U level.

abc: 4.1545 4.1545 4.1545
angles: 90.00 90.00 90.00
Space group Pm-3m (No. 221)
One atom of each set of equivalent atoms:
Mn 0.0000 0.0000 0.0000 (multiplicity 1)
Be 0.0000 0.0000 0.5000 (multiplicity 3)
O 0.5000 0.5000 0.5000 (multiplicity 1)


## two
Below is MnBe3O after structural relaxation, with properties calculated at the PBE with a Hubbard U level.

abc: 3.5148 3.5148 3.5148
angles: 90.00 90.00 90.00
Space group Pm-3m (No. 221)
One atom of each set of equivalent atoms:
Mn 0.0000 0.0000 0.0000 (multiplicity 1)
Be 0.0000 0.5000 0.5000 (multiplicity 3)
O 0.5000 0.5000 0.5000 (multiplicity 1)


Top of the stability list: two, leading by 1.461 eV/atom.